DFT (PBE) results for a relaxed structure of BaMgMo2.

Cell: 5.0782 4.1560 4.1560 Å, 90.00 90.00 90.00°
Closest atoms and distances in Å follow each position.
Atoms (fractional coordinates):
Mg1 0.5000 0.0000 0.5000  4 Ba 2.94, 8 Mo 3.28
Mo1 0.0000 0.0000 0.0000  4 Mo 2.94, 4 Mg 3.28, 4 Ba 3.28
Mo2 0.0000 0.5000 0.5000  4 Mo 2.94, 4 Ba 3.28, 4 Mg 3.28
Ba1 0.5000 0.5000 0.0000  4 Mg 2.94, 8 Mo 3.28

electronic total energy	-20.12	eV for the cell shown
DFT formation energy	1.265	eV per atom
spin magnetization	0.000	μB per atom

DFT (PBE) results for a relaxed structure of BaMgMo3.

Cell: 4.9889 4.9889 4.9889 Å, 90.00 90.00 90.00°
Closest atoms and distances in Å follow each position.
Atoms (fractional coordinates):
Mo1 0.0000 0.5000 0.0000  2 Mg 2.49
Mo2 0.0000 0.0000 0.5000  2 Mg 2.49
Ba1 0.5000 0.5000 0.5000  12 Mo 3.53
Mo3 0.5000 0.0000 0.0000  2 Mg 2.49
Mg1 0.0000 0.0000 0.0000  6 Mo 2.49

electronic total energy	-25.88	eV for the cell shown
energy above the most stable polymorph in this dataset	0.000	eV/f.u.
DFT formation energy	2.026	eV per atom
spin magnetization	1.242	μB per atom

DFT (PBE) results for a relaxed structure of BaMgMo2.

Cell: 5.4010 5.4010 6.3113 Å, 77.78 77.78 37.06°
Closest atoms and distances in Å follow each position.
Atoms (fractional coordinates):
Mo1 0.0169 0.0169 0.8729  2 Mo 2.39
Mg1 0.7500 0.7500 0.7500  6 Mo 2.90-3.00
Mo2 0.4831 0.4831 0.6271  2 Mo 2.39
Ba1 0.2500 0.2500 0.2500  2 Ba 3.43, 4 Mg 3.59, 6 Mo 3.63-3.73

electronic total energy	-22.19	eV for the cell shown
DFT formation energy	0.747	eV per atom
spin magnetization	0.000	μB per atom